--- 1 ---
# CoPtBr2 | the Alexandria database | PBE-GGA | relaxed
# - Total magnetization: 3.0 μB per formula unit
data_CoPtBr2
_chemical_formula_sum 'Co1 Pt1 Br2'
_cell_length_a 3.747
_cell_length_b 3.575
_cell_length_c 7.244
_cell_angle_alpha 90.00
_cell_angle_beta 91.01
_cell_angle_gamma 90.00
_symmetry_space_group_name_H-M 'P 1 m 1'
_symmetry_Int_Tables_number 6
loop_
_symmetry_equiv_pos_as_xyz
'x,y,z'
'x,-y,z'
loop_
_atom_site_label
_atom_site_type_symbol
_atom_site_fract_x
_atom_site_fract_y
_atom_site_fract_z
_atom_site_occupancy
Co1 Co 0.000 0.000 0.000 1
Pt1 Pt 0.480 0.500 0.910 1
Br1 Br 0.199 0.500 0.223 1
Br2 Br 0.749 0.000 0.680 1

***

--- 2 ---
# CoPtBr2 | the Alexandria database | PBE-GGA | relaxed
# - Total magnetization: 1.9 μB per formula unit
data_CoPtBr2
_chemical_formula_sum 'Co1 Pt1 Br2'
_cell_length_a 4.729
_cell_length_b 3.893
_cell_length_c 4.805
_cell_angle_alpha 90.00
_cell_angle_beta 91.36
_cell_angle_gamma 90.00
_symmetry_space_group_name_H-M 'P 1 2/m 1'
_symmetry_Int_Tables_number 10
loop_
_symmetry_equiv_pos_as_xyz
'x,y,z'
'-x,-y,-z'
'-x,y,-z'
'x,-y,z'
loop_
_atom_site_label
_atom_site_type_symbol
_atom_site_fract_x
_atom_site_fract_y
_atom_site_fract_z
_atom_site_occupancy
Co1 Co 0.000 0.000 0.000 1
Pt1 Pt 0.500 0.000 0.500 1
Br1 Br 0.239 0.500 0.241 1

***

Which of them is the least stable? Correct choice: 2.

***

--- 1 ---
# CoPtBr | the Alexandria database | PBE-GGA | relaxed
# - Total magnetization: 2.7 μB per formula unit
data_CoPtBr
_chemical_formula_sum 'Co2 Pt2 Br2'
_cell_length_a 2.948
_cell_length_b 2.948
_cell_length_c 12.590
_cell_angle_alpha 90.00
_cell_angle_beta 90.00
_cell_angle_gamma 90.00
_symmetry_space_group_name_H-M 'I 4 m m'
_symmetry_Int_Tables_number 107
_symmetry_space_group_name_Hall 'I 4 -2'
loop_
_atom_site_label
_atom_site_type_symbol
_atom_site_fract_x
_atom_site_fract_y
_atom_site_fract_z
_atom_site_occupancy
Co1 Co 0.000 0.000 0.000 1
Pt1 Pt 0.000 0.000 0.375 1
Br1 Br 0.000 0.000 0.638 1

***

--- 2 ---
# CoPtBr | the Alexandria database | PBE-GGA | relaxed
# - Total magnetization: 2.3 μB per formula unit
data_CoPtBr
_chemical_formula_sum 'Co4 Pt4 Br4'
_cell_length_a 6.040
_cell_length_b 6.040
_cell_length_c 6.040
_cell_angle_alpha 90.00
_cell_angle_beta 90.00
_cell_angle_gamma 90.00
_symmetry_space_group_name_H-M 'F -4 3 m'
_symmetry_Int_Tables_number 216
_symmetry_space_group_name_Hall 'F -4 2 3'
loop_
_atom_site_label
_atom_site_type_symbol
_atom_site_fract_x
_atom_site_fract_y
_atom_site_fract_z
_atom_site_occupancy
Co1 Co 0.000 0.000 0.000 1
Pt1 Pt 0.250 0.250 0.750 1
Br1 Br 0.250 0.250 0.250 1

***

Which of them is the least stable? Correct choice: 2.

***

--- 1 ---
# CoPtBr4 | the Alexandria database | PBE-GGA | relaxed
# - Total magnetization: 2.3 μB per formula unit
data_CoPtBr4
_chemical_formula_sum 'Co4 Pt4 Br16'
_cell_length_a 8.493
_cell_length_b 8.493
_cell_length_c 8.493
_cell_angle_alpha 90.00
_cell_angle_beta 90.00
_cell_angle_gamma 90.00
_symmetry_space_group_name_H-M 'F -4 3 m'
_symmetry_Int_Tables_number 216
_symmetry_space_group_name_Hall 'F -4 2 3'
loop_
_atom_site_label
_atom_site_type_symbol
_atom_site_fract_x
_atom_site_fract_y
_atom_site_fract_z
_atom_site_occupancy
Co1 Co 0.000 0.000 0.000 1
Pt1 Pt 0.250 0.250 0.750 1
Br1 Br 0.125 0.125 0.375 1

***

--- 2 ---
# CoPtBr4 | the Alexandria database | PBE-GGA | relaxed
# - Total magnetization: 3.5 μB per formula unit
data_CoPtBr4
_chemical_formula_sum 'Co2 Pt2 Br8'
_cell_length_a 14.352
_cell_length_b 3.894
_cell_length_c 6.509
_cell_angle_alpha 90.00
_cell_angle_beta 113.76
_cell_angle_gamma 90.00
_symmetry_space_group_name_H-M 'C 1 2/m 1'
_symmetry_Int_Tables_number 12
loop_
_symmetry_equiv_pos_as_xyz
'x,y,z'
'-x,-y,-z'
'-x,y,-z'
'x,-y,z'
'x+1/2,y+1/2,z'
'-x+1/2,-y+1/2,-z'
'-x+1/2,y+1/2,-z'
'x+1/2,-y+1/2,z'
loop_
_atom_site_label
_atom_site_type_symbol
_atom_site_fract_x
_atom_site_fract_y
_atom_site_fract_z
_atom_site_occupancy
Co1 Co 0.000 0.000 0.000 1
Pt1 Pt 0.000 0.500 0.500 1
Br1 Br 0.105 0.500 0.269 1
Br2 Br 0.108 0.000 0.778 1

***

Which of them is the least stable? Correct choice: 1.

***

--- 1 ---
# RbCoBr2 | the Alexandria database | PBE-GGA | relaxed
# - Total magnetization: 2.0 μB per formula unit
data_RbCoBr2
_chemical_formula_sum 'Rb3 Co3 Br6'
_cell_length_a 5.5714
_cell_length_b 5.5714
_cell_length_c 22.2920
_cell_angle_alpha 90.00
_cell_angle_beta 90.00
_cell_angle_gamma 120.00
_symmetry_space_group_name_H-M 'R -3 m'
_symmetry_Int_Tables_number 166
_symmetry_space_group_name_Hall '-R 3 2"'
loop_
_atom_site_label
_atom_site_type_symbol
_atom_site_fract_x
_atom_site_fract_y
_atom_site_fract_z
_atom_site_occupancy
Rb1 Rb 0.0000 0.0000 0.0000 1
Co1 Co 0.0000 0.0000 0.5000 1
Br1 Br 0.0000 0.0000 0.3977 1

***

--- 2 ---
# RbCoBr2 | the Alexandria database | PBE-GGA | relaxed
# - Total magnetization: 2.3 μB per formula unit
data_RbCoBr2
_chemical_formula_sum 'Rb3 Co3 Br6'
_cell_length_a 4.0415
_cell_length_b 4.0415
_cell_length_c 27.3565
_cell_angle_alpha 90.00
_cell_angle_beta 90.00
_cell_angle_gamma 120.00
_symmetry_space_group_name_H-M 'R -3 m'
_symmetry_Int_Tables_number 166
_symmetry_space_group_name_Hall '-R 3 2"'
loop_
_atom_site_label
_atom_site_type_symbol
_atom_site_fract_x
_atom_site_fract_y
_atom_site_fract_z
_atom_site_occupancy
Rb1 Rb 0.0000 0.0000 0.0000 1
Co1 Co 0.0000 0.0000 0.5000 1
Br1 Br 0.0000 0.0000 0.1182 1

***

--- 3 ---
# RbCoBr2 | the Alexandria database | PBE-GGA | relaxed
# - Total magnetization: 2.0 μB per formula unit
data_RbCoBr2
_chemical_formula_sum 'Rb4 Co4 Br8'
_cell_length_a 7.813
_cell_length_b 7.813
_cell_length_c 7.872
_cell_angle_alpha 90.00
_cell_angle_beta 90.00
_cell_angle_gamma 90.00
_symmetry_space_group_name_H-M 'I -4 2 d'
_symmetry_Int_Tables_number 122
_symmetry_space_group_name_Hall 'I -4 2bw'
loop_
_atom_site_label
_atom_site_type_symbol
_atom_site_fract_x
_atom_site_fract_y
_atom_site_fract_z
_atom_site_occupancy
Rb1 Rb 0.000 0.000 0.000 1
Co1 Co 0.000 0.000 0.500 1
Br1 Br 0.141 0.250 0.625 1

***

Which of them is the least stable? Correct choice: 2.

***

--- 1 ---
# CoReBr | the Alexandria database | PBE-GGA | relaxed
# - Total magnetization: 0.9 μB per formula unit
data_CoReBr
_chemical_formula_sum 'Co4 Re4 Br4'
_cell_length_a 2.883
_cell_length_b 4.990
_cell_length_c 13.410
_cell_angle_alpha 90.00
_cell_angle_beta 90.00
_cell_angle_gamma 90.00
_symmetry_space_group_name_H-M 'F m m 2'
_symmetry_Int_Tables_number 42
_symmetry_space_group_name_Hall 'F 2 -2'
loop_
_atom_site_label
_atom_site_type_symbol
_atom_site_fract_x
_atom_site_fract_y
_atom_site_fract_z
_atom_site_occupancy
Co1 Co 0.000 0.000 0.000 1
Re1 Re 0.000 0.000 0.642 1
Br1 Br 0.000 0.000 0.337 1

***

--- 2 ---
# CoReBr | the Alexandria database | PBE-GGA | relaxed
# - Total magnetization: 1.5 μB per formula unit
data_CoReBr
_chemical_formula_sum 'Co1 Re1 Br1'
_cell_length_a 4.3081
_cell_length_b 4.3081
_cell_length_c 2.8420
_cell_angle_alpha 90.00
_cell_angle_beta 90.00
_cell_angle_gamma 120.00
_symmetry_space_group_name_H-M 'P -6 m 2'
_symmetry_Int_Tables_number 187
_symmetry_space_group_name_Hall 'P -6 2'
loop_
_atom_site_label
_atom_site_type_symbol
_atom_site_fract_x
_atom_site_fract_y
_atom_site_fract_z
_atom_site_occupancy
Co1 Co 0.0000 0.0000 0.0000 1
Re1 Re 0.6667 0.3333 0.5000 1
Br1 Br 0.3333 0.6667 0.5000 1

***

Which of them is the least stable? Correct choice: 2.

***

--- 1 ---
# CoReBr | the Alexandria database | PBE-GGA | relaxed
# - Total magnetization: 0.9 μB per formula unit
data_CoReBr
_chemical_formula_sum 'Co2 Re2 Br2'
_cell_length_a 2.920
_cell_length_b 2.920
_cell_length_c 11.772
_cell_angle_alpha 90.00
_cell_angle_beta 90.00
_cell_angle_gamma 90.00
_symmetry_space_group_name_H-M 'I 4 m m'
_symmetry_Int_Tables_number 107
_symmetry_space_group_name_Hall 'I 4 -2'
loop_
_atom_site_label
_atom_site_type_symbol
_atom_site_fract_x
_atom_site_fract_y
_atom_site_fract_z
_atom_site_occupancy
Co1 Co 0.000 0.000 0.000 1
Re1 Re 0.000 0.000 0.381 1
Br1 Br 0.000 0.000 0.718 1

***

--- 2 ---
# CoReBr | the Alexandria database | PBE-GGA | relaxed
# - Total magnetization: 0.0 μB per formula unit
data_CoReBr
_chemical_formula_sum 'Co4 Re4 Br4'
_cell_length_a 5.876
_cell_length_b 5.876
_cell_length_c 5.876
_cell_angle_alpha 90.00
_cell_angle_beta 90.00
_cell_angle_gamma 90.00
_symmetry_space_group_name_H-M 'F -4 3 m'
_symmetry_Int_Tables_number 216
_symmetry_space_group_name_Hall 'F -4 2 3'
loop_
_atom_site_label
_atom_site_type_symbol
_atom_site_fract_x
_atom_site_fract_y
_atom_site_fract_z
_atom_site_occupancy
Co1 Co 0.000 0.000 0.000 1
Re1 Re 0.250 0.250 0.750 1
Br1 Br 0.000 0.000 0.500 1

***

--- 3 ---
# CoReBr | the Alexandria database | PBE-GGA | relaxed
# - Total magnetization: 0.8 μB per formula unit
data_CoReBr
_chemical_formula_sum 'Co1 Re1 Br1'
_cell_length_a 2.9549
_cell_length_b 2.9549
_cell_length_c 6.0788
_cell_angle_alpha 90.00
_cell_angle_beta 90.00
_cell_angle_gamma 120.00
_symmetry_space_group_name_H-M 'P 3 m 1'
_symmetry_Int_Tables_number 156
loop_
_symmetry_equiv_pos_as_xyz
'x,y,z'
'-y,x-y,z'
'-x+y,-x,z'
'-y,-x,z'
'-x+y,y,z'
'x,x-y,z'
loop_
_atom_site_label
_atom_site_type_symbol
_atom_site_fract_x
_atom_site_fract_y
_atom_site_fract_z
_atom_site_occupancy
Co1 Co 0.0000 0.0000 0.0000 1
Re1 Re 0.6667 0.3333 0.2992 1
Br1 Br 0.3333 0.6667 0.6632 1

***

Which of them is the least stable? Correct choice: 2.